# 1
The following is a DFT calculation (SCAN) of SiRhW2 at its PBEsol-relaxed geometry.

Geometry as extended XYZ:
```
4
Lattice="2.7471 0.0911 0.1471 -0.1617 4.8047 0.0165 -0.1617 -2.1265 4.3085" Properties=species:S:1:pos:R:3 pbc="T T T"
Rh 1.2118 1.3846 2.2360
Si 1.3735 0.0455 0.0735
W -0.0809 2.4023 0.0082
W -0.0809 -1.0632 2.1542
```

## Properties
Its symmetry is No. 65.

---

# 2
The following is a DFT calculation (SCAN) of NaLi2W at its PBEsol-relaxed geometry.

Geometry as extended XYZ:
```
4
Lattice="4.7934 0.0000 0.0000 2.3967 4.1512 0.0000 2.3967 1.3837 3.9138" Properties=species:S:1:pos:R:3 pbc="T T T"
Na 0.0000 0.0000 0.0000
W 4.7934 2.7674 1.9569
Li 2.3967 1.3837 0.9784
Li 7.1900 4.1512 2.9353
```

## Properties
Its symmetry is No. 225. The formation energy is 1288 meV/atom.

---

# 3
The following is a DFT calculation (SCAN) of CoIr2Rh at its PBEsol-relaxed geometry.

Geometry as extended XYZ:
```
4
Lattice="-3.3153 1.7247 0.1730 -1.2717 -2.1665 -2.7722 -1.1698 -2.4983 2.4891" Properties=species:S:1:pos:R:3 pbc="T T T"
Rh -2.8784 -1.4700 -0.0550
Ir -0.6359 -1.0832 -1.3861
Ir -1.6577 0.8624 0.0865
Co -0.5849 -1.2491 1.2445
```

## Properties
Its energy above the most stable polymorph in this dataset is 62 meV per atom. Its symmetry is No. 123. The formation energy is 33 meV/atom.

---

| no. | uncorrected energy (eV per atom) |
| --- | --- |
| 1 | -45.776 |
| 2 | -18.382 |
| 3 | -48.285 |